Entry from the Alexandria database: crystalline LiCd2Te at its relaxed geometry (GGA-PBE).

## Properties
* SG: No. 12
* uncorrected formation energy: -293.8 meV per atom
* DOS(E_F): 0.82 states/eV/cell
* magnetization: 0.000 μB/atom

a b c (Å): 4.8481 7.0930 3.1891
angles (deg): 76.46 91.57 110.36
Element x y z (fractional)
Te  0.5000  0.5000  0.0000
Li  0.0000  0.5000  0.5000
Cd  0.0000  0.0000  0.0000
Cd  0.5000  0.0000  0.5000